! CaH3Pd PBE optimized geometry; values from VASP
! Space-group type ... C2/m
! Crystal system ... monoclinic
&SYSTEM
  ibrav = 0, nat = 10, ntyp = 3
/
ATOMIC_SPECIES
Ca 40.08 Ca.upf
H 1.01 H.upf
Pd 106.42 Pd.upf
ATOMIC_POSITIONS crystal
Ca 0.1109 0.1109 0.3238
Ca 0.8891 0.8891 0.6762
H 0.1890 0.1890 0.9699
H 0.3092 0.3092 0.4443
H 0.4840 0.4840 0.2341
H 0.5160 0.5160 0.7659
H 0.6908 0.6908 0.5557
H 0.8110 0.8110 0.0301
Pd 0.3410 0.3410 0.1455
Pd 0.6590 0.6590 0.8545
CELL_PARAMETERS angstrom
6.1212 -1.7526 0.0000
6.1212 1.7526 0.0000
-1.6120 0.0000 5.3477

***

! CaHPd3 PBE optimized geometry; values from VASP
! Space-group type ... P2_1/c
! Crystal system ... monoclinic
! Energy above the lowest structure with this stoichiometry ... 0.1656 eV/atom
&SYSTEM
  ibrav = 0, nat = 20, ntyp = 3
/
ATOMIC_SPECIES
Ca 40.08 Ca.upf
H 1.01 H.upf
Pd 106.42 Pd.upf
ATOMIC_POSITIONS crystal
Ca 0.1597 0.0056 0.1565
Ca 0.1597 0.4944 0.6565
Ca 0.8403 0.5056 0.3435
Ca 0.8403 0.9944 0.8435
H 0.4045 0.1977 0.4835
H 0.4045 0.3023 0.9835
H 0.5955 0.6977 0.0165
H 0.5955 0.8023 0.5165
Pd 0.1519 0.0229 0.4435
Pd 0.1519 0.4771 0.9435
Pd 0.3241 0.5257 0.3883
Pd 0.3241 0.9743 0.8883
Pd 0.4736 0.5223 0.1491
Pd 0.4736 0.9777 0.6491
Pd 0.5264 0.0223 0.3509
Pd 0.5264 0.4777 0.8509
Pd 0.6759 0.0257 0.1117
Pd 0.6759 0.4743 0.6117
Pd 0.8481 0.5229 0.0565
Pd 0.8481 0.9771 0.5565
CELL_PARAMETERS angstrom
6.9749 0.0000 0.0000
0.0000 4.6219 0.0000
-1.6036 0.0000 9.9692

***

! CaH2Pd2 PBE optimized geometry; values from VASP
! Space-group type ... P2/m
! Crystal system ... monoclinic
! Energy above the lowest structure with this stoichiometry ... 0.0615 eV/atom
&SYSTEM
  ibrav = 0, nat = 5, ntyp = 3
/
ATOMIC_SPECIES
Ca 40.08 Ca.upf
H 1.01 H.upf
Pd 106.42 Pd.upf
ATOMIC_POSITIONS crystal
Ca 0.0000 0.0000 0.0000
H 0.0000 0.0000 0.5000
H 0.5000 0.5000 0.5000
Pd 0.0000 0.5000 0.5000
Pd 0.5000 0.0000 0.5000
CELL_PARAMETERS angstrom
3.9471 0.0000 0.0000
0.0000 3.9060 0.0000
-0.0759 0.0000 4.7076

***

! Ca8HPd2 PBE optimized geometry; values from VASP
! Space-group type ... C2/m
! Crystal system ... monoclinic
&SYSTEM
  ibrav = 0, nat = 11, ntyp = 3
/
ATOMIC_SPECIES
Ca 40.08 Ca.upf
H 1.01 H.upf
Pd 106.42 Pd.upf
ATOMIC_POSITIONS crystal
Ca 0.2060 0.7244 0.7572
Ca 0.2109 0.2109 0.8915
Ca 0.2756 0.7940 0.2428
Ca 0.3003 0.3003 0.3933
Ca 0.6997 0.6997 0.6067
Ca 0.7244 0.2060 0.7572
Ca 0.7891 0.7891 0.1085
Ca 0.7940 0.2756 0.2428
H 0.0000 0.0000 0.0000
Pd 0.1071 0.1071 0.5489
Pd 0.8929 0.8929 0.4511
CELL_PARAMETERS angstrom
6.7563 -3.4519 0.0000
6.7563 3.4519 0.0000
-0.1298 0.0000 7.3534

***

! CaHPd3 PBE optimized geometry; values from VASP
! Space-group type ... Pm-3m
! Crystal system ... cubic
! Energy above the lowest structure with this stoichiometry ... 1.7927 eV/atom
&SYSTEM
  ibrav = 0, nat = 5, ntyp = 3
/
ATOMIC_SPECIES
Ca 40.08 Ca.upf
H 1.01 H.upf
Pd 106.42 Pd.upf
ATOMIC_POSITIONS crystal
Ca 0.0000 0.0000 0.0000
H 0.5000 0.5000 0.5000
Pd 0.0000 0.0000 0.5000
Pd 0.0000 0.5000 0.0000
Pd 0.5000 0.0000 0.0000
CELL_PARAMETERS angstrom
5.0439 0.0000 0.0000
0.0000 5.0439 0.0000
0.0000 0.0000 5.0439

***

! CaH3Pd PBE optimized geometry; values from VASP
! Space-group type ... Amm2
! Crystal system ... orthorhombic
&SYSTEM
  ibrav = 0, nat = 5, ntyp = 3
/
ATOMIC_SPECIES
Ca 40.08 Ca.upf
H 1.01 H.upf
Pd 106.42 Pd.upf
ATOMIC_POSITIONS crystal
Ca 0.0000 0.0000 0.0000
H 0.0000 0.4699 0.8988
H 0.0000 0.8988 0.4699
H 0.5000 0.8620 0.8620
Pd 0.5000 0.6809 0.6809
CELL_PARAMETERS angstrom
3.0661 0.0000 0.0000
0.0000 2.2688 5.0437
0.0000 -2.2688 5.0437

***

! CaH3Pd PBE optimized geometry; values from VASP
! Space-group type ... R3m
! Crystal system ... trigonal
&SYSTEM
  ibrav = 0, nat = 5, ntyp = 3
/
ATOMIC_SPECIES
Ca 40.08 Ca.upf
H 1.01 H.upf
Pd 106.42 Pd.upf
ATOMIC_POSITIONS crystal
Ca 0.0000 0.0000 0.0000
H 0.1905 0.1905 0.5769
H 0.1905 0.5769 0.1905
H 0.5769 0.1905 0.1905
Pd 0.4733 0.4733 0.4733
CELL_PARAMETERS angstrom
3.0507 1.7613 2.0480
-3.0507 1.7613 2.0480
0.0000 -3.5227 2.0480

***

! CaHPd PBE optimized geometry; values from VASP
! Space-group type ... P-6m2
! Crystal system ... hexagonal
! Energy above the lowest structure with this stoichiometry ... 0.2822 eV/atom
&SYSTEM
  ibrav = 0, nat = 3, ntyp = 3
/
ATOMIC_SPECIES
Ca 40.08 Ca.upf
H 1.01 H.upf
Pd 106.42 Pd.upf
ATOMIC_POSITIONS crystal
Ca 0.0000 0.0000 0.0000
H 0.3333 0.6667 0.5000
Pd 0.6667 0.3333 0.5000
CELL_PARAMETERS angstrom
3.7173 0.0000 0.0000
-1.8587 3.2193 0.0000
0.0000 0.0000 4.0151

***

Number 1: final energy -3.84 eV/atom. Number 2: final energy -4.55 eV/atom. Number 3: final energy -4.25 eV/atom. Number 4: final energy -3.02 eV/atom. Number 5: final energy -2.92 eV/atom. Number 6: final energy -3.61 eV/atom. Number 7: final energy -3.47 eV/atom. Number 8: final energy -3.83 eV/atom.